No. 1
VASP calculation (PBE) on an optimized crystal structure of LuTlFeS3.

POSCAR file:
```
LuTlFeS3
1.0
-6.6874 -7.7424 -0.1183
3.4876 -3.1010 5.7985
0.7677 -0.7755 7.3629
Fe Lu Tl S
2 2 2 6
Direct
0.0000 0.4680 0.4680
0.5000 0.5320 0.5320
0.7500 0.0000 0.0000
0.2500 0.0000 0.0000
0.0000 0.7479 0.7479
0.5000 0.2521 0.2521
0.0000 0.0594 0.0594
0.8140 0.3796 0.3796
0.1860 0.3796 0.3796
0.5000 0.9406 0.9406
0.6860 0.6204 0.6204
0.3140 0.6204 0.6204
```

As for the magnetization: 0.67 μB/atom. As for the space group: Cmcm, No. 63. As for the polymorph energy (0 for the lowest one): 20 meV/atom.

---

No. 2
VASP calculation (PBE) on an optimized crystal structure of GdTlZnSe3.

POSCAR file:
```
GdTlZnSe3
1.0
8.6704 -2.1179 0.0000
8.6704 2.1179 0.0000
-2.3191 0.0000 8.9293
Se Gd Tl Zn
6 2 2 2
Direct
0.3422 0.3422 0.2068
0.6575 0.6575 0.3692
0.6578 0.6578 0.7932
0.5000 0.5000 0.0000
0.0000 0.0000 0.5000
0.3425 0.3425 0.6308
0.8279 0.8279 0.4067
0.1721 0.1721 0.5933
0.1389 0.1389 0.0677
0.8611 0.8611 0.9323
0.5076 0.5076 0.7164
0.4924 0.4924 0.2836
```

As for the magnetization: 0.00 μB/atom. As for the space group: C2/m, No. 12. As for the polymorph energy (0 for the lowest one): 150 meV/atom.

---

No. 3
VASP calculation (PBE) on an optimized crystal structure of Ta4SnB3.

POSCAR file:
```
Ta4SnB3
1.0
3.2794 0.0000 0.0000
-1.6397 2.8400 0.0000
0.0000 0.0000 24.4800
Ta Sn B
8 2 6
Direct
0.3333 0.6667 0.4474
0.0000 0.0000 0.3433
0.6667 0.3333 0.9474
0.0000 0.0000 0.6567
0.0000 0.0000 0.1567
0.3333 0.6667 0.0526
0.6667 0.3333 0.5526
0.0000 0.0000 0.8433
0.6667 0.3333 0.7500
0.3333 0.6667 0.2500
0.3333 0.6667 0.6080
0.0000 0.0000 0.5000
0.6667 0.3333 0.3920
0.3333 0.6667 0.8920
0.6667 0.3333 0.1080
0.0000 0.0000 0.0000
```

Its raw total energy is -151.5 eV per cell. As for the magnetization: 0.00 μB/atom. As for the space group: P6_3/mmc, No. 194.

---

No. 4
VASP calculation (PBE) on an optimized crystal structure of NbFeCuPb.

POSCAR file:
```
NbFeCuPb
1.0
0.0000 3.1542 3.1542
3.1542 0.0000 3.1542
3.1542 3.1542 0.0000
Fe Nb Pb Cu
1 1 1 1
Direct
0.2500 0.2500 0.2500
0.5000 0.5000 0.5000
0.0000 0.0000 0.0000
0.7500 0.7500 0.7500
```

As for the magnetization: 0.00 μB/atom. As for the space group: F-43m, No. 216. As for the polymorph energy (0 for the lowest one): 0 meV/atom.

---

No. 5
VASP calculation (PBE) on an optimized crystal structure of DyEr2Tm3Bi2Os.

POSCAR file:
```
DyEr2Tm3Bi2Os
1.0
-3.7216 -0.2834 1.9429
3.8062 -2.1903 6.9713
-1.4471 7.9492 -1.6122
Tm Er Bi Dy Os
3 2 2 1 1
Direct
0.0000 0.6163 0.0003
0.0000 0.0003 0.6163
0.0000 0.3824 0.3824
0.5000 0.2350 0.0000
0.5000 0.0000 0.2350
0.5000 0.3318 0.6665
0.5000 0.6665 0.3318
0.5000 0.7649 0.7649
0.0000 0.0028 0.0028
```

Its raw total energy is -51.2 eV per cell. As for the magnetization: 0.00 μB/atom. As for the space group: Amm2, No. 38.

---

No. 6
VASP calculation (PBE) on an optimized crystal structure of NaSnSbOs.

POSCAR file:
```
NaSnSbOs
1.0
0.0000 3.3715 3.3715
3.3715 0.0000 3.3715
3.3715 3.3715 0.0000
Os Sn Sb Na
1 1 1 1
Direct
0.2500 0.2500 0.2500
0.5000 0.5000 0.5000
0.0000 0.0000 0.0000
0.7500 0.7500 0.7500
```

As for the magnetization: 0.00 μB/atom. As for the space group: F-43m, No. 216. As for the polymorph energy (0 for the lowest one): 0 meV/atom.

---

No. 7
VASP calculation (PBE) on an optimized crystal structure of Ga2BIr.

POSCAR file:
```
Ga2BIr
1.0
2.5557 -1.7073 2.8978
-1.5329 -2.7647 2.8019
1.0614 -4.0803 -0.2612
Ir Ga B
1 2 1
Direct
0.2500 0.2500 0.2500
0.7500 0.7500 0.7500
0.0000 0.0000 0.0000
0.5000 0.5000 0.5000
```

Its raw total energy is -19.2 eV per cell. As for the magnetization: 0.00 μB/atom. As for the space group: F-43m, No. 216.

---

No. 8
VASP calculation (PBE) on an optimized crystal structure of BaAlZn2Ge.

POSCAR file:
```
BaAlZn2Ge
1.0
-1.1470 -0.5566 6.2270
1.9904 4.5532 3.9633
-3.2052 -0.4553 -5.4699
Zn Al Ba Ge
2 1 1 1
Direct
0.7511 0.2511 0.5000
0.2511 0.7511 0.5000
0.3776 0.3776 0.0000
0.0010 0.0010 0.0000
0.6192 0.6192 0.0000
```

Its raw total energy is -14.4 eV per cell. As for the space group: I4mm, No. 107.

---

No. 9
VASP calculation (PBE) on an optimized crystal structure of HoEr2Ga3CuNi2.

POSCAR file:
```
HoEr2Ga3CuNi2
1.0
-3.4158 -1.3131 -0.4564
2.0815 -6.2933 2.5285
-2.4950 4.9524 4.4249
Ho Ga Er Ni Cu
1 3 2 2 1
Direct
0.0000 0.4120 0.4120
0.5000 0.7434 0.7434
0.5000 0.2570 0.9996
0.5000 0.9996 0.2570
0.0000 0.5882 0.0000
0.0000 0.0000 0.5882
0.5000 0.6671 0.3331
0.5000 0.3331 0.6671
0.0000 0.9996 0.9996
```

Its raw total energy is -43.1 eV per cell. As for the magnetization: 0.00 μB/atom. As for the space group: Amm2, No. 38.

---

No. 10
VASP calculation (PBE) on an optimized crystal structure of HoFeCoSi2.

POSCAR file:
```
HoFeCoSi2
1.0
-1.9540 1.9540 4.7709
1.9540 -1.9540 4.7709
1.9540 1.9540 -4.7709
Si Co Ho Fe
2 1 1 1
Direct
0.6191 0.1191 0.5000
0.8809 0.3809 0.5000
0.5000 0.5000 0.0000
0.2500 0.7500 0.5000
0.0000 0.0000 0.0000
```

Its raw total energy is -34.7 eV per cell. As for the magnetization: 0.00 μB/atom. As for the space group: I-4m2, No. 119.

---

No. 11
VASP calculation (PBE) on an optimized crystal structure of YMgCoPb.

POSCAR file:
```
YMgCoPb
1.0
0.0000 3.4849 3.4849
3.4849 0.0000 3.4849
3.4849 3.4849 0.0000
Y Co Mg Pb
1 1 1 1
Direct
0.2500 0.2500 0.2500
0.0000 0.0000 0.0000
0.7500 0.7500 0.7500
0.5000 0.5000 0.5000
```

As for the magnetization: 0.31 μB/atom. As for the space group: F-43m, No. 216. As for the polymorph energy (0 for the lowest one): 20 meV/atom.

---

No. 12
VASP calculation (PBE) on an optimized crystal structure of TbPr2Zn4Si4.

POSCAR file:
```
TbPr2Zn4Si4
1.0
-2.0650 2.0825 12.3817
2.0650 -2.0825 12.3817
2.0650 2.0825 -12.3817
Zn Si Pr Tb
4 4 2 1
Direct
0.9068 0.4068 0.5000
0.0932 0.5932 0.5000
0.2503 0.2503 0.0000
0.7497 0.7497 0.0000
0.8096 0.3096 0.5000
0.5469 0.5469 0.0000
0.1904 0.6904 0.5000
0.4531 0.4531 0.0000
0.6440 0.1440 0.5000
0.3560 0.8560 0.5000
0.0000 0.0000 0.0000
```

Its raw total energy is -47.1 eV per cell. As for the magnetization: 0.00 μB/atom. As for the space group: Immm, No. 71.

---

No. 13
VASP calculation (PBE) on an optimized crystal structure of KThAu.

POSCAR file:
```
KThAu
1.0
-1.7829 -3.2520 -4.0544
2.7065 -2.1605 4.2661
-8.7216 -1.2975 4.8761
Au Th K
3 3 3
Direct
0.0000 0.0000 0.8486
0.0000 0.0000 0.1450
0.3333 0.6667 0.4834
0.6667 0.3333 0.9963
0.6667 0.3333 0.3319
0.6667 0.3333 0.6723
0.0000 0.0000 0.5000
0.3333 0.6667 0.1654
0.3333 0.6667 0.8131
```

Its raw total energy is -32.2 eV per cell. As for the magnetization: 0.00 μB/atom. As for the space group: P3m1, No. 156.

---

No. 14
VASP calculation (PBE) on an optimized crystal structure of ZrCd2Pt.

POSCAR file:
```
ZrCd2Pt
1.0
-2.7255 -2.7333 -2.7823
-4.7404 0.2616 0.3179
-2.5166 1.9611 -3.5301
Cd Pt Zr
2 1 1
Direct
0.0000 0.0000 0.0000
0.2500 0.2500 0.2500
0.7500 0.7500 0.7500
0.5000 0.5000 0.5000
```

As for the magnetization: 0.00 μB/atom. As for the space group: F-43m, No. 216. The value obtained for the energy of formation from the pure elements is -166 kJ/mol of formula units.

---

No. 15
VASP calculation (PBE) on an optimized crystal structure of PuNbCd.

POSCAR file:
```
PuNbCd
1.0
0.6819 3.1443 3.3206
-1.9407 4.1826 -0.3429
-3.4715 1.1759 2.8184
Nb Cd Pu
1 1 1
Direct
0.0000 0.0000 0.0000
0.2500 0.2500 0.2500
0.7500 0.7500 0.7500
```

As for the magnetization: 1.57 μB/atom. As for the space group: F-43m, No. 216. As for the polymorph energy (0 for the lowest one): 0 meV/atom. The value obtained for the energy of formation from the pure elements is 230 kJ/mol of formula units.

---

No. 16
VASP calculation (PBE) on an optimized crystal structure of Ho2Tc.

POSCAR file:
```
Ho2Tc
1.0
0.0000 4.1174 4.1174
4.1174 0.0000 4.1174
4.1174 4.1174 0.0000
Ho Tc
4 2
Direct
0.6250 0.6250 0.1250
0.1250 0.6250 0.6250
0.6250 0.1250 0.6250
0.6250 0.6250 0.6250
0.0000 0.0000 0.0000
0.2500 0.2500 0.2500
```

As for the magnetization: 0.01 μB/atom. As for the space group: Fd-3m, No. 227. As for the polymorph energy (0 for the lowest one): 0 meV/atom. The value obtained for the energy of formation from the pure elements is 314 kJ/mol of formula units.

---

No. 17
VASP calculation (PBE) on an optimized crystal structure of TmTl3Cl6.

POSCAR file:
```
TmTl3Cl6
1.0
-2.2705 6.8235 1.7843
-7.5769 -1.9087 -2.3423
-0.1266 -9.7272 8.3362
Cl Tm Tl
12 2 6
Direct
0.2357 0.7340 0.5762
0.1023 0.0616 0.7257
0.3336 0.1662 0.5407
0.7643 0.2660 0.4238
0.3336 0.3338 0.0407
0.8977 0.9384 0.2743
0.7643 0.2340 0.9238
0.6664 0.6662 0.9593
0.1023 0.4384 0.2257
0.6664 0.8338 0.4593
0.8977 0.5616 0.7743
0.2357 0.7660 0.0762
0.0000 0.5000 0.0000
0.0000 0.0000 0.5000
0.7106 0.9325 0.7357
0.2894 0.4325 0.7643
0.5000 0.0000 0.0000
0.2894 0.0675 0.2643
0.7106 0.5675 0.2357
0.5000 0.5000 0.5000
```

Its raw total energy is -76.5 eV per cell. As for the magnetization: 0.00 μB/atom. As for the space group: P2_1/c, No. 14.

---

No. 18
VASP calculation (PBE) on an optimized crystal structure of LuAgSnTeS2.

POSCAR file:
```
LuAgSnTeS2
1.0
5.7637 4.1958 -0.5816
-6.3932 -1.0769 3.0217
4.8689 -5.5336 8.3293
S Te Sn Lu Ag
4 2 2 2 2
Direct
0.6250 0.3750 0.4408
0.6250 0.3750 0.0593
0.3750 0.6250 0.5593
0.3750 0.6250 0.9407
0.8844 0.1156 0.2500
0.1156 0.8844 0.7500
0.7905 0.2095 0.7500
0.2095 0.7905 0.2500
0.0000 0.0000 0.5000
0.0000 0.0000 0.0000
0.5272 0.4728 0.2500
0.4728 0.5272 0.7500
```

Its raw total energy is -55.1 eV per cell. As for the magnetization: 0.00 μB/atom. As for the space group: Cmcm, No. 63.

---

No. 19
VASP calculation (PBE) on an optimized crystal structure of Y2Sc4Co3C3.

POSCAR file:
```
Y2Sc4Co3C3
1.0
4.9922 -2.8834 0.0000
4.9922 2.8834 0.0000
-3.4752 0.0000 13.3462
C Y Co Sc
6 4 6 8
Direct
0.3317 0.8375 0.5006
0.5000 0.0000 0.0000
0.0000 0.5000 0.5000
0.8375 0.3317 0.0006
0.1625 0.6683 0.9994
0.6683 0.1625 0.4994
0.4600 0.6239 0.8847
0.3761 0.5400 0.6153
0.5400 0.3761 0.1153
0.6239 0.4600 0.3847
0.9159 0.0841 0.7500
0.4167 0.0906 0.7500
0.9094 0.5833 0.7500
0.5833 0.9094 0.2500
0.0906 0.4167 0.2500
0.0841 0.9159 0.2500
0.3018 0.1399 0.4112
0.6982 0.8601 0.5888
0.9737 0.7983 0.4112
0.1399 0.3018 0.9112
0.2017 0.0263 0.0888
0.8601 0.6982 0.0888
0.7983 0.9737 0.9112
0.0263 0.2017 0.5888
```

Its raw total energy is -179.7 eV per cell. As for the magnetization: 0.18 μB/atom. As for the space group: C2/c, No. 15.

---

No. 20
VASP calculation (PBE) on an optimized crystal structure of TbPrSb2.

POSCAR file:
```
TbPrSb2
1.0
-0.6243 0.3682 4.4211
0.7114 -4.3986 0.4668
6.1917 1.0845 0.7840
Sb Tb Pr
2 1 1
Direct
0.5000 0.5000 0.0000
0.0000 0.0000 0.5000
0.5000 0.5000 0.5000
0.0000 0.0000 0.0000
```

As for the magnetization: 0.00 μB/atom. As for the space group: P4/mmm, No. 123. As for the polymorph energy (0 for the lowest one): 0 meV/atom.

---

No. 21
VASP calculation (PBE) on an optimized crystal structure of Tb2ErIn3CuNi2.

POSCAR file:
```
Tb2ErIn3CuNi2
1.0
-1.8923 1.7404 2.8321
2.4770 -5.1182 4.8002
3.9341 6.2043 -1.1840
In Er Tb Cu Ni
3 1 2 1 2
Direct
0.5000 0.7415 0.7415
0.5000 0.2583 0.0002
0.5000 0.0002 0.2583
0.0000 0.4126 0.4126
0.0000 0.0000 0.5873
0.0000 0.5873 0.0000
0.0000 0.0002 0.0002
0.5000 0.6665 0.3334
0.5000 0.3334 0.6665
```

Its raw total energy is -41.2 eV per cell. As for the magnetization: 0.00 μB/atom. As for the space group: Amm2, No. 38.

---

No. 22
VASP calculation (PBE) on an optimized crystal structure of Pa2Si3Tc.

POSCAR file:
```
Pa2Si3Tc
1.0
-1.7716 -4.8753 6.3372
-2.1619 0.6179 7.7432
-5.5945 -0.8899 0.4623
Si Tc Pa
6 2 4
Direct
0.3258 0.8397 0.1603
0.1648 0.1648 0.8352
0.8397 0.3258 0.6742
0.6742 0.1603 0.8397
0.1603 0.6742 0.3258
0.8352 0.8352 0.1648
0.3356 0.3356 0.6644
0.6644 0.6644 0.3356
0.7391 0.2609 0.2609
0.7500 0.7500 0.7500
0.2609 0.7391 0.7391
0.2500 0.2500 0.2500
```

Its raw total energy is -98.5 eV per cell. As for the magnetization: 0.00 μB/atom. As for the space group: Fmmm, No. 69.

---

No. 23
VASP calculation (PBE) on an optimized crystal structure of Pr4TmTl5.

POSCAR file:
```
Pr4TmTl5
1.0
3.8152 0.0000 0.0000
0.0000 3.8152 0.0000
0.0000 0.0000 20.1195
Tl Pr Tm
5 4 1
Direct
0.5000 0.5000 0.0888
0.5000 0.5000 0.9112
0.5000 0.5000 0.7059
0.5000 0.5000 0.5000
0.5000 0.5000 0.2941
0.0000 0.0000 0.6027
0.0000 0.0000 0.1919
0.0000 0.0000 0.3973
0.0000 0.0000 0.8081
0.0000 0.0000 0.0000
```

Its raw total energy is -39.2 eV per cell. As for the magnetization: 0.00 μB/atom. As for the space group: P4/mmm, No. 123.

---

Result set for mass density: 6.1, 6.7, 12.7, 11.1, 10.8, 9.8, 10.7, 5.4, 9.2, 7.7, 7.4, 6.4, 8.9, 11.1, 10.7, 10.2, 5.1, 6.4, 4.9, 7.1, 9.1, 9.4, 9.9 Mg/m³, one per record in the order listed.